(1)
Crystalline OsW3 at its relaxed geometry, computed with GGA-PBE. Values from VASP.

Cell and atoms, written as Quantum ESPRESSO input:
```
&SYSTEM
  ibrav = 0, nat = 4, ntyp = 2
/
ATOMIC_SPECIES
Os 190.23 Os.upf
W 183.84 W.upf
CELL_PARAMETERS angstrom
2.792 0.000 0.000
-1.396 2.418 0.000
0.000 0.000 9.414
ATOMIC_POSITIONS angstrom
Os 0.000 0.000 0.000
W 0.000 0.000 4.707
W 0.000 1.612 2.239
W 0.000 1.612 7.175
```

Properties
N(E_F) = 1.157 states/eV/atom
Total moment = 0.00 μB per formula unit

---

(2)
Crystalline Os2W3 at its relaxed geometry, computed with GGA-PBE. Values from VASP.

Cell and atoms, written as Quantum ESPRESSO input:
```
&SYSTEM
  ibrav = 0, nat = 5, ntyp = 2
/
ATOMIC_SPECIES
Os 190.23 Os.upf
W 183.84 W.upf
CELL_PARAMETERS angstrom
4.284 0.000 0.000
-2.142 3.710 0.000
0.000 0.000 5.420
ATOMIC_POSITIONS angstrom
Os 0.000 2.473 1.847
Os 2.142 1.237 3.573
W 0.000 0.000 2.710
W 0.000 2.473 4.682
W 2.142 1.237 0.738
```

Properties
N(E_F) = 0.932 states/eV/atom
Total moment = 0.00 μB per formula unit

---

Computed calculated total energy, in the same sequence as the records: -12.2343, -11.7224 eV/atom.
Computed formation energy from the elements, in the same sequence as the records: 288, 541 meV/atom.